Entry from Alexandria via LeMat-Bulk: a relaxed structure of Sc2ZnOs (PBE-GGA).

Summary:
D(E_F)	4.92	states/eV/cell
ΔH_f (0 K)	-0.11	eV/atom
ΔE to the lowest computed polymorph	139	kJ/mol of formula units
SG	R-3m

a b c (Å): 8.698 8.698 8.698
angles (deg): 21.14 21.14 21.14
Element x y z (fractional)
Sc 0.244 0.244 0.244
Sc 0.756 0.756 0.756
Zn 0.000 0.000 0.000
Os 0.500 0.500 0.500

Entry from Alexandria via LeMat-Bulk: a relaxed structure of Sc6ZnOs (PBE-GGA).

Summary:
D(E_F)	10.27	states/eV/cell
ΔH_f (0 K)	-0.19	eV/atom
SG	I4/mmm

a b c (Å): 8.586 8.586 8.586
angles (deg): 148.71 148.71 44.83
Element x y z (fractional)
Sc 0.100 0.600 0.500
Sc 0.249 0.249 0.000
Sc 0.400 0.900 0.500
Sc 0.600 0.100 0.500
Sc 0.751 0.751 0.000
Sc 0.900 0.400 0.500
Zn 0.500 0.500 0.000
Os 0.000 0.000 0.000

Entry from Alexandria via LeMat-Bulk: a relaxed structure of Sc3ZnOs (PBE-GGA).

Summary:
D(E_F)	4.18	states/eV/cell
ΔH_f (0 K)	0.79	eV/atom
ΔE to the lowest computed polymorph	347	kJ/mol of formula units
SG	Pm-3m

a b c (Å): 4.821 4.821 4.821
angles (deg): 90.00 90.00 90.00
Element x y z (fractional)
Sc 0.000 0.000 0.500
Sc 0.000 0.500 0.000
Sc 0.500 0.000 0.000
Zn 0.000 0.000 0.000
Os 0.500 0.500 0.500

Entry from Alexandria via LeMat-Bulk: a relaxed structure of Sc2ZnOs (PBE-GGA).

Summary:
D(E_F)	1.98	states/eV/cell
ΔH_f (0 K)	-0.43	eV/atom
ΔE to the lowest computed polymorph	12	kJ/mol of formula units
SG	Fm-3m

a b c (Å): 4.620 4.620 4.620
angles (deg): 60.00 60.00 60.00
Element x y z (fractional)
Sc 0.250 0.250 0.250
Sc 0.750 0.750 0.750
Zn 0.000 0.000 0.000
Os 0.500 0.500 0.500

Entry from Alexandria via LeMat-Bulk: a relaxed structure of Sc2ZnOs (PBE-GGA).

Summary:
D(E_F)	2.09	states/eV/cell
ΔH_f (0 K)	-0.46	eV/atom
ΔE to the lowest computed polymorph	0	kJ/mol of formula units
SG	P4/mmm

a b c (Å): 3.267 3.267 6.686
angles (deg): 90.00 90.00 90.00
Element x y z (fractional)
Sc 0.000 0.000 0.231
Sc 0.000 0.000 0.769
Zn 0.500 0.500 0.500
Os 0.500 0.500 0.000

Entry from Alexandria via LeMat-Bulk: a relaxed structure of Sc4ZnOs (PBE-GGA).

Summary:
D(E_F)	8.17	states/eV/cell
ΔH_f (0 K)	0.48	eV/atom
ΔE to the lowest computed polymorph	446	kJ/mol of formula units
SG	F-43m

a b c (Å): 5.474 5.474 5.474
angles (deg): 60.00 60.00 60.00
Element x y z (fractional)
Sc 0.377 0.377 0.377
Sc 0.377 0.377 0.868
Sc 0.377 0.868 0.377
Sc 0.868 0.377 0.377
Zn 0.000 0.000 0.000
Os 0.750 0.750 0.750

Entry from Alexandria via LeMat-Bulk: a relaxed structure of Sc4Zn3Os (PBE-GGA).

Summary:
D(E_F)	5.59	states/eV/cell
ΔH_f (0 K)	-0.42	eV/atom
SG	P4/mmm

a b c (Å): 3.298 3.298 13.446
angles (deg): 90.00 90.00 90.00
Element x y z (fractional)
Sc 0.000 0.000 0.113
Sc 0.000 0.000 0.373
Sc 0.000 0.000 0.627
Sc 0.000 0.000 0.887
Zn 0.500 0.500 0.246
Zn 0.500 0.500 0.500
Zn 0.500 0.500 0.754
Os 0.500 0.500 0.000

Entry from Alexandria via LeMat-Bulk: a relaxed structure of Sc2ZnOs (PBE-GGA).

Summary:
D(E_F)	4.16	states/eV/cell
ΔH_f (0 K)	0.14	eV/atom
ΔE to the lowest computed polymorph	235	kJ/mol of formula units
SG	R-3m

a b c (Å): 9.950 9.950 9.950
angles (deg): 18.01 18.01 18.01
Element x y z (fractional)
Sc 0.098 0.098 0.098
Sc 0.902 0.902 0.902
Zn 0.000 0.000 0.000
Os 0.500 0.500 0.500

Entry from Alexandria via LeMat-Bulk: a relaxed structure of Sc2ZnOs (PBE-GGA).

Summary:
D(E_F)	3.38	states/eV/cell
ΔH_f (0 K)	-0.12	eV/atom
ΔE to the lowest computed polymorph	134	kJ/mol of formula units
SG	P4mm

a b c (Å): 3.317 3.317 6.835
angles (deg): 90.00 90.00 90.00
Element x y z (fractional)
Sc 0.000 0.000 0.000
Sc 0.500 0.500 0.367
Zn 0.000 0.000 0.591
Os 0.500 0.500 0.774

Entry from Alexandria via LeMat-Bulk: a relaxed structure of Sc2ZnOs (PBE-GGA).

Summary:
D(E_F)	2.48	states/eV/cell
ΔH_f (0 K)	-0.26	eV/atom
ΔE to the lowest computed polymorph	78	kJ/mol of formula units
SG	Cm

a b c (Å): 5.412 5.412 4.607
angles (deg): 110.18 110.18 34.97
Element x y z (fractional)
Sc 0.000 0.000 0.000
Sc 0.212 0.212 0.678
Zn 0.445 0.445 0.451
Os 0.731 0.731 0.192

Entry from Alexandria via LeMat-Bulk: a relaxed structure of Sc2ZnOs (PBE-GGA).

Summary:
D(E_F)	4.72	states/eV/cell
ΔH_f (0 K)	0.10	eV/atom
ΔE to the lowest computed polymorph	218	kJ/mol of formula units
SG	I-42d

a b c (Å): 5.918 5.918 5.918
angles (deg): 102.79 102.79 123.86
Element x y z (fractional)
Sc 0.101 0.125 0.476
Sc 0.375 0.899 0.024
Sc 0.649 0.625 0.524
Sc 0.875 0.351 0.976
Zn 0.250 0.750 0.500
Zn 0.500 0.500 0.000
Os 0.000 0.000 0.000
Os 0.750 0.250 0.500

Entry from Alexandria via LeMat-Bulk: a relaxed structure of Sc2ZnOs (PBE-GGA).

Summary:
D(E_F)	3.40	states/eV/cell
ΔH_f (0 K)	-0.08	eV/atom
ΔE to the lowest computed polymorph	148	kJ/mol of formula units
SG	Pmm2

a b c (Å): 3.200 4.063 5.637
angles (deg): 90.00 90.00 90.00
Element x y z (fractional)
Sc 0.000 0.000 0.000
Sc 0.500 0.500 0.324
Zn 0.000 0.000 0.535
Os 0.500 0.500 0.832